[1]
DFT (PBE) results for crystalline CoSb2Os at its relaxed geometry.

a = 8.0850 Å, b = 8.0850 Å, c = 8.0850 Å
α = 22.91°, β = 22.91°, γ = 22.91°
Last column: nearest neighbours and their distance in Å.
Positions (direct):
Co (0.2500, 0.2500, 0.2500)  6 Sb 2.65
Sb (0.9969, 0.9969, 0.9969)  3 Co 2.65, 3 Os 2.76
Sb (0.5031, 0.5031, 0.5031)  3 Co 2.65, 3 Os 2.76
Os (0.7500, 0.7500, 0.7500)  6 Sb 2.76

Properties
The energy relative to the elements, uncorrected is 0.40 eV per atom. For the total magnetic moment, the calculation gives 0.9 μB per formula unit. As for the distance to the lowest polymorph of the same formula: 135.1 meV per atom. The density of states at the Fermi level comes out at 2.892 states/eV/cell.



[2]
DFT (PBE) results for crystalline CoSb2Os at its relaxed geometry.

a = 4.3974 Å, b = 4.3974 Å, c = 5.4835 Å
α = 78.54°, β = 78.54°, γ = 42.99°
Last column: nearest neighbours and their distance in Å.
Positions (direct):
Sb (0.9990, 0.9990, 0.9962)  3 Co 2.67-2.73, 3 Os 2.72-2.73
Co (0.7500, 0.7500, 0.7500)  6 Sb 2.67-2.73
Sb (0.5010, 0.5010, 0.5038)  3 Co 2.67-2.73, 3 Os 2.72-2.73
Os (0.2500, 0.2500, 0.2500)  6 Sb 2.72-2.73

Properties
The energy relative to the elements, uncorrected is 0.45 eV per atom. For the total magnetic moment, the calculation gives 0.9 μB per formula unit. As for the distance to the lowest polymorph of the same formula: 180.2 meV per atom. The density of states at the Fermi level comes out at 3.947 states/eV/cell.



[3]
DFT (PBE) results for crystalline CoSb2Os at its relaxed geometry.

a = 3.2686 Å, b = 3.9693 Å, c = 5.4375 Å
α = 90.00°, β = 90.00°, γ = 90.00°
Last column: nearest neighbours and their distance in Å.
Positions (direct):
Sb (0.0000, 0.0000, 0.9462)  2 Co 2.69-2.74, 4 Os 2.70
Os (0.5000, 0.5000, 0.7969)  6 Sb 2.62-2.82
Co (0.0000, 0.0000, 0.4415)  6 Sb 2.66-2.74
Sb (0.5000, 0.5000, 0.3154)  2 Os 2.62-2.82, 4 Co 2.66

Properties
The energy relative to the elements, uncorrected is 0.35 eV per atom. For the total magnetic moment, the calculation gives 0.2 μB per formula unit. As for the distance to the lowest polymorph of the same formula: 76.6 meV per atom. The density of states at the Fermi level comes out at 3.085 states/eV/cell.



[4]
DFT (PBE) results for crystalline CoSbOs3 at its relaxed geometry.

a = 4.4641 Å, b = 4.4641 Å, c = 4.4641 Å
α = 90.00°, β = 90.00°, γ = 90.00°
Last column: nearest neighbours and their distance in Å.
Positions (direct):
Os (0.5000, 0.0000, 0.0000)  2 Co 2.23
Os (0.0000, 0.5000, 0.0000)  2 Co 2.23
Co (0.0000, 0.0000, 0.0000)  6 Os 2.23
Os (0.0000, 0.0000, 0.5000)  2 Co 2.23
Sb (0.5000, 0.5000, 0.5000)  12 Os 3.16

Properties
The energy relative to the elements, uncorrected is 1.69 eV per atom. For the total magnetic moment, the calculation gives 0.0 μB per formula unit. As for the distance to the lowest polymorph of the same formula: 0.0 meV per atom. The density of states at the Fermi level comes out at 7.699 states/eV/cell.



[5]
DFT (PBE) results for crystalline Co4SbOs at its relaxed geometry.

a = 4.7914 Å, b = 4.7914 Å, c = 4.7914 Å
α = 60.00°, β = 60.00°, γ = 60.00°
Last column: nearest neighbours and their distance in Å.
Positions (direct):
Sb (0.0000, 0.0000, 0.0000)  12 Co 2.81, 4 Os 2.93
Os (0.7500, 0.7500, 0.7500)  12 Co 2.81, 4 Sb 2.93
Co (0.3753, 0.3753, 0.8741)  6 Co 2.39-2.40
Co (0.8741, 0.3753, 0.3753)  6 Co 2.39-2.40
Co (0.3753, 0.8741, 0.3753)  6 Co 2.39-2.40
Co (0.3753, 0.3753, 0.3753)  6 Co 2.39-2.40

Properties
The energy relative to the elements, uncorrected is 0.34 eV per atom. For the total magnetic moment, the calculation gives 6.9 μB per formula unit. The density of states at the Fermi level comes out at 8.787 states/eV/cell.



[6]
DFT (PBE) results for crystalline CoSb4Os at its relaxed geometry.

a = 5.9222 Å, b = 5.9222 Å, c = 5.9222 Å
α = 60.00°, β = 60.00°, γ = 60.00°
Last column: nearest neighbours and their distance in Å.
Positions (direct):
Co (0.7500, 0.7500, 0.7500)  12 Sb 3.47, 4 Os 3.63
Sb (0.3752, 0.3752, 0.8745)  6 Sb 2.96
Sb (0.3752, 0.3752, 0.3752)  6 Sb 2.96
Sb (0.3752, 0.8745, 0.3752)  6 Sb 2.96
Os (0.0000, 0.0000, 0.0000)  12 Sb 3.47, 4 Co 3.63
Sb (0.8745, 0.3752, 0.3752)  6 Sb 2.96

Properties
The energy relative to the elements, uncorrected is 1.52 eV per atom. For the total magnetic moment, the calculation gives 2.7 μB per formula unit. The density of states at the Fermi level comes out at 8.275 states/eV/cell.



[7]
DFT (PBE) results for crystalline CoSb2Os at its relaxed geometry.

a = 3.2124 Å, b = 3.2079 Å, c = 7.3368 Å
α = 63.95°, β = 90.00°, γ = 90.00°
Last column: nearest neighbours and their distance in Å.
Positions (direct):
Os (0.5000, 0.7500, 0.7500)  8 Sb 2.84-2.85
Sb (0.0000, 0.5104, 0.4897)  4 Co 2.76-2.77, 4 Os 2.84-2.85
Co (0.5000, 0.2500, 0.2500)  8 Sb 2.76-2.77
Sb (0.0000, 0.9896, 0.0103)  4 Co 2.76-2.77, 4 Os 2.84-2.85

Properties
The energy relative to the elements, uncorrected is 0.47 eV per atom. For the total magnetic moment, the calculation gives 0.0 μB per formula unit. As for the distance to the lowest polymorph of the same formula: 203.6 meV per atom. The density of states at the Fermi level comes out at 4.383 states/eV/cell.



[8]
DFT (PBE) results for crystalline CoSb4Os2 at its relaxed geometry.

a = 4.9855 Å, b = 4.9855 Å, c = 7.2231 Å
α = 69.81°, β = 69.81°, γ = 90.00°
Last column: nearest neighbours and their distance in Å.
Positions (direct):
Sb (0.5000, 0.0000, 0.0000)  2 Co 2.49
Sb (0.8013, 0.8013, 0.3975)  1 Os 2.50, 1 Co 2.51
Os (0.3967, 0.3967, 0.2067)  1 Sb 2.50, 1 Os 2.61
Sb (0.0000, 0.5000, 0.0000)  2 Co 2.49
Os (0.6033, 0.6033, 0.7933)  1 Sb 2.50, 1 Os 2.61
Sb (0.1987, 0.1987, 0.6025)  1 Os 2.50, 1 Co 2.51
Co (0.0000, 0.0000, 0.0000)  6 Sb 2.49-2.51

Properties
The energy relative to the elements, uncorrected is 0.74 eV per atom. For the total magnetic moment, the calculation gives 0.0 μB per formula unit. The density of states at the Fermi level comes out at 3.822 states/eV/cell.



[9]
DFT (PBE) results for crystalline CoSb2Os at its relaxed geometry.

a = 5.7917 Å, b = 5.7917 Å, c = 7.1115 Å
α = 65.97°, β = 65.97°, γ = 90.00°
Last column: nearest neighbours and their distance in Å.
Positions (direct):
Sb (0.8750, 0.8597, 0.7500)  2 Co 2.46, 2 Os 2.56
Co (0.2500, 0.7500, 0.5000)  4 Sb 2.46
Co (0.5000, 0.5000, 0.0000)  4 Sb 2.46
Sb (0.3750, 0.3903, 0.7500)  2 Co 2.46, 2 Os 2.56
Sb (0.6097, 0.1250, 0.2500)  2 Co 2.46, 2 Os 2.56
Os (0.0000, 0.0000, 0.0000)  4 Sb 2.56
Sb (0.1403, 0.6250, 0.2500)  2 Co 2.46, 2 Os 2.56
Os (0.7500, 0.2500, 0.5000)  4 Sb 2.56

Properties
The energy relative to the elements, uncorrected is 0.66 eV per atom. For the total magnetic moment, the calculation gives 0.0 μB per formula unit. As for the distance to the lowest polymorph of the same formula: 385.2 meV per atom. The density of states at the Fermi level comes out at 5.857 states/eV/cell.



[10]
DFT (PBE) results for crystalline Co3SbOs at its relaxed geometry.

a = 4.4755 Å, b = 4.4755 Å, c = 4.4755 Å
α = 90.00°, β = 90.00°, γ = 90.00°
Last column: nearest neighbours and their distance in Å.
Positions (direct):
Os (0.0000, 0.0000, 0.0000)  6 Co 2.24
Co (0.0000, 0.5000, 0.0000)  2 Os 2.24
Co (0.0000, 0.0000, 0.5000)  2 Os 2.24
Sb (0.5000, 0.5000, 0.5000)  12 Co 3.16
Co (0.5000, 0.0000, 0.0000)  2 Os 2.24

Properties
The energy relative to the elements, uncorrected is 1.29 eV per atom. For the total magnetic moment, the calculation gives 0.0 μB per formula unit. As for the distance to the lowest polymorph of the same formula: 0.0 meV per atom. The density of states at the Fermi level comes out at 7.445 states/eV/cell.